Compound: MnCrNO2
Source: Alexandria via LeMat-Bulk
Functional: GGA+U
Structure: optimized geometry

total energy	-6.873	eV/atom
magnetization	6.00	μB/f.u.

CIF file:
```
data_MnCrNO2
_cell_length_a 3.712
_cell_length_b 3.712
_cell_length_c 3.918
_cell_angle_alpha 90.00
_cell_angle_beta 90.00
_cell_angle_gamma 90.00
_space_group_name_H-M_alt 'P 1'
_space_group_IT_number 1
loop_
_space_group_symop_operation_xyz
'x,y,z'
loop_
_atom_site_label
_atom_site_fract_x
_atom_site_fract_y
_atom_site_fract_z
Cr1 0.500 0.500 0.500
Mn1 0.000 0.000 0.000
O1 0.000 0.500 0.000
O2 0.500 0.000 0.000
N1 0.000 0.000 0.500
```